# 1
# KCeSe2O8 | Alexandria via LeMat-Bulk | PBE | relaxed
# Calculated total energy (eV for the cell shown): -143.4
# Crystal system: monoclinic
# ΔE_f (raw) (eV/atom): -1.502
data_KCeSe2O8
_chemical_formula_sum 'K2 Ce2 Se4 O16'
_cell_length_a 9.295
_cell_length_b 5.926
_cell_length_c 8.501
_cell_angle_alpha 90.00
_cell_angle_beta 91.16
_cell_angle_gamma 90.00
_space_group_name_H-M_alt 'C 1 2/m 1'
_space_group_IT_number 12
loop_
_space_group_symop_operation_xyz
'x,y,z'
'-x,-y,-z'
'-x,y,-z'
'x,-y,z'
'x+1/2,y+1/2,z'
'-x+1/2,-y+1/2,-z'
'-x+1/2,y+1/2,-z'
'x+1/2,-y+1/2,z'
loop_
_atom_site_label
_atom_site_fract_x
_atom_site_fract_y
_atom_site_fract_z
_atom_site_occupancy
K1 0.000 0.000 0.000 1
Ce1 0.000 0.000 0.500 1
Se1 0.137 0.500 0.267 1
O1 0.033 0.268 0.293 1
O2 0.205 0.500 0.090 1
O3 0.239 0.000 0.586 1

# 2
# K2CeSi2O6 | Alexandria via LeMat-Bulk | PBE | relaxed
# Calculated total energy (eV for the cell shown): -154.8
# Crystal system: monoclinic
# ΔE_f (raw) (eV/atom): -2.608
data_K2CeSi2O6
_chemical_formula_sum 'K4 Ce2 Si4 O12'
_cell_length_a 10.153
_cell_length_b 5.887
_cell_length_c 6.952
_cell_angle_alpha 90.00
_cell_angle_beta 121.80
_cell_angle_gamma 90.00
_space_group_name_H-M_alt 'C 1 2/m 1'
_space_group_IT_number 12
loop_
_space_group_symop_operation_xyz
'x,y,z'
'-x,-y,-z'
'-x,y,-z'
'x,-y,z'
'x+1/2,y+1/2,z'
'-x+1/2,-y+1/2,-z'
'-x+1/2,y+1/2,-z'
'x+1/2,-y+1/2,z'
loop_
_atom_site_label
_atom_site_fract_x
_atom_site_fract_y
_atom_site_fract_z
_atom_site_occupancy
K1 0.212 0.000 0.182 1
Ce1 0.000 0.000 0.500 1
Si1 0.049 0.500 0.196 1
O1 0.018 0.269 0.748 1
O2 0.240 0.500 0.337 1

# 3
# K2CeSi6O15 | Alexandria via LeMat-Bulk | PBE | relaxed
# Calculated total energy (eV for the cell shown): -729.1
# Crystal system: monoclinic
# ΔE_f (raw) (eV/atom): -2.802
data_K2CeSi6O15
_chemical_formula_sum 'K8 Ce4 Si24 O60'
_cell_length_a 17.886
_cell_length_b 8.876
_cell_length_c 12.042
_cell_angle_alpha 90.00
_cell_angle_beta 132.23
_cell_angle_gamma 90.00
_space_group_name_H-M_alt 'C 1 2/c 1'
_space_group_IT_number 15
loop_
_space_group_symop_operation_xyz
'x,y,z'
'-x,-y,-z'
'-x,y,-z+1/2'
'x,-y,z+1/2'
'x+1/2,y+1/2,z'
'-x+1/2,-y+1/2,-z'
'-x+1/2,y+1/2,-z+1/2'
'x+1/2,-y+1/2,z+1/2'
loop_
_atom_site_label
_atom_site_fract_x
_atom_site_fract_y
_atom_site_fract_z
_atom_site_occupancy
K1 0.078 0.174 0.157 1
Ce1 0.000 0.169 0.750 1
Si1 0.095 0.468 0.416 1
Si2 0.164 0.264 0.682 1
Si3 0.225 0.027 0.573 1
O1 0.000 0.393 0.250 1
O2 0.080 0.353 0.916 1
O3 0.090 0.155 0.678 1
O4 0.095 0.374 0.533 1
O5 0.108 0.013 0.420 1
O6 0.201 0.429 0.456 1
O7 0.237 0.370 0.831 1
O8 0.242 0.165 0.681 1

# 4
# KCeSiO4 | Alexandria via LeMat-Bulk | PBE | relaxed
# Calculated total energy (eV for the cell shown): -103.6
# Crystal system: monoclinic
# ΔE_f (raw) (eV/atom): -2.790
data_KCeSiO4
_chemical_formula_sum 'K2 Ce2 Si2 O8'
_cell_length_a 5.846
_cell_length_b 5.696
_cell_length_c 7.394
_cell_angle_alpha 90.00
_cell_angle_beta 104.51
_cell_angle_gamma 90.00
_space_group_name_H-M_alt 'P 1 21/m 1'
_space_group_IT_number 11
loop_
_space_group_symop_operation_xyz
'x,y,z'
'-x,-y,-z'
'-x,y+1/2,-z'
'x,-y+1/2,z'
loop_
_atom_site_label
_atom_site_fract_x
_atom_site_fract_y
_atom_site_fract_z
_atom_site_occupancy
K1 0.190 0.250 0.423 1
Ce1 0.274 0.250 0.949 1
Si1 0.257 0.750 0.173 1
O1 0.075 0.750 0.309 1
O2 0.090 0.750 0.955 1
O3 0.438 0.522 0.194 1

# 5
# KCe2SiO8 | Alexandria via LeMat-Bulk | PBE | relaxed
# Calculated total energy (eV for the cell shown): -86.4
# Crystal system: triclinic
# ΔE_f (raw) (eV/atom): -2.359
data_KCe2SiO8
_chemical_formula_sum 'K1 Ce2 Si1 O8'
_cell_length_a 4.869
_cell_length_b 5.233
_cell_length_c 7.051
_cell_angle_alpha 92.57
_cell_angle_beta 104.76
_cell_angle_gamma 103.42
_space_group_name_H-M_alt 'P -1'
_space_group_IT_number 2
loop_
_space_group_symop_operation_xyz
'x,y,z'
'-x,-y,-z'
loop_
_atom_site_label
_atom_site_fract_x
_atom_site_fract_y
_atom_site_fract_z
_atom_site_occupancy
K1 0.000 0.000 0.000 1
Ce1 0.304 0.456 0.681 1
Si1 0.500 0.000 0.500 1
O1 0.133 0.518 0.981 1
O2 0.157 0.735 0.434 1
O3 0.331 0.247 0.388 1
O4 0.423 0.090 0.727 1

# 6
# KCeSi2O6 | Alexandria via LeMat-Bulk | PBE | relaxed
# Calculated total energy (eV for the cell shown): -303.5
# Crystal system: monoclinic
# ΔE_f (raw) (eV/atom): -2.825
data_KCeSi2O6
_chemical_formula_sum 'K4 Ce4 Si8 O24'
_cell_length_a 10.548
_cell_length_b 10.356
_cell_length_c 5.398
_cell_angle_alpha 90.00
_cell_angle_beta 100.56
_cell_angle_gamma 90.00
_space_group_name_H-M_alt 'C 1 2/c 1'
_space_group_IT_number 15
loop_
_space_group_symop_operation_xyz
'x,y,z'
'-x,-y,-z'
'-x,y,-z+1/2'
'x,-y,z+1/2'
'x+1/2,y+1/2,z'
'-x+1/2,-y+1/2,-z'
'-x+1/2,y+1/2,-z+1/2'
'x+1/2,-y+1/2,z+1/2'
loop_
_atom_site_label
_atom_site_fract_x
_atom_site_fract_y
_atom_site_fract_z
_atom_site_occupancy
K1 0.000 0.167 0.250 1
Ce1 0.000 0.378 0.750 1
Si1 0.219 0.081 0.777 1
O1 0.123 0.422 0.164 1
O2 0.148 0.219 0.724 1
O3 0.168 0.011 0.022 1

# 7
# K3CeSi2O8 | Alexandria via LeMat-Bulk | PBE | relaxed
# Calculated total energy (eV for the cell shown): -94.6
# Crystal system: trigonal
# ΔE_f (raw) (eV/atom): -2.490
data_K3CeSi2O8
_chemical_formula_sum 'K3 Ce1 Si2 O8'
_cell_length_a 5.8458
_cell_length_b 5.8458
_cell_length_c 7.7656
_cell_angle_alpha 90.00
_cell_angle_beta 90.00
_cell_angle_gamma 120.00
_space_group_name_H-M_alt 'P -3 m 1'
_space_group_IT_number 164
_space_group_name_Hall '-P 3 2"'
loop_
_atom_site_label
_atom_site_fract_x
_atom_site_fract_y
_atom_site_fract_z
_atom_site_occupancy
K1 0.0000 0.0000 0.0000 1
K2 0.3333 0.6667 0.7157 1
Ce1 0.0000 0.0000 0.5000 1
Si1 0.3333 0.6667 0.2561 1
O1 0.1798 0.3596 0.3293 1
O2 0.3333 0.6667 0.0463 1

# 8
# K3CeSn2O9 | Alexandria via LeMat-Bulk | PBE | relaxed
# Calculated total energy (eV for the cell shown): -87.0
# Crystal system: trigonal
# ΔE_f (raw) (eV/atom): -1.676
data_K3CeSn2O9
_chemical_formula_sum 'K3 Ce1 Sn2 O9'
_cell_length_a 6.0284
_cell_length_b 6.0284
_cell_length_c 7.3897
_cell_angle_alpha 90.00
_cell_angle_beta 90.00
_cell_angle_gamma 120.00
_space_group_name_H-M_alt 'P -3 m 1'
_space_group_IT_number 164
_space_group_name_Hall '-P 3 2"'
loop_
_atom_site_label
_atom_site_fract_x
_atom_site_fract_y
_atom_site_fract_z
_atom_site_occupancy
K1 0.0000 0.0000 0.0000 1
K2 0.3333 0.6667 0.6689 1
Ce1 0.0000 0.0000 0.5000 1
Sn1 0.3333 0.6667 0.1584 1
O1 0.0000 0.5000 0.0000 1
O2 0.1725 0.3450 0.3226 1

# 9
# K4CeSn3O12 | Alexandria via LeMat-Bulk | PBE | relaxed
# Calculated total energy (eV for the cell shown): -227.0
# Crystal system: cubic
# ΔE_f (raw) (eV/atom): -1.584
data_K4CeSn3O12
_chemical_formula_sum 'K8 Ce2 Sn6 O24'
_cell_length_a 8.495
_cell_length_b 8.495
_cell_length_c 8.495
_cell_angle_alpha 90.00
_cell_angle_beta 90.00
_cell_angle_gamma 90.00
_space_group_name_H-M_alt 'I m -3 m'
_space_group_IT_number 229
_space_group_name_Hall '-I 4 2 3'
loop_
_atom_site_label
_atom_site_fract_x
_atom_site_fract_y
_atom_site_fract_z
_atom_site_occupancy
K1 0.250 0.250 0.250 1
Ce1 0.000 0.000 0.000 1
Sn1 0.000 0.000 0.500 1
O1 0.000 0.000 0.262 1
O2 0.000 0.250 0.500 1

# 10
# K3Sr2CeO6 | Alexandria via LeMat-Bulk | PBE | relaxed
# Calculated total energy (eV for the cell shown): -139.3
# Crystal system: monoclinic
# ΔE_f (raw) (eV/atom): -2.275
data_K3Sr2CeO6
_chemical_formula_sum 'K6 Sr4 Ce2 O12'
_cell_length_a 6.386
_cell_length_b 11.057
_cell_length_c 6.622
_cell_angle_alpha 90.00
_cell_angle_beta 108.90
_cell_angle_gamma 90.00
_space_group_name_H-M_alt 'C 1 2/m 1'
_space_group_IT_number 12
loop_
_space_group_symop_operation_xyz
'x,y,z'
'-x,-y,-z'
'-x,y,-z'
'x,-y,z'
'x+1/2,y+1/2,z'
'-x+1/2,-y+1/2,-z'
'-x+1/2,y+1/2,-z'
'x+1/2,-y+1/2,z'
loop_
_atom_site_label
_atom_site_fract_x
_atom_site_fract_y
_atom_site_fract_z
_atom_site_occupancy
K1 0.000 0.000 0.000 1
K2 0.000 0.334 0.000 1
Sr1 0.000 0.167 0.500 1
Ce1 0.000 0.500 0.500 1
O1 0.216 0.350 0.697 1
O2 0.235 0.500 0.306 1